First-principles (PBE) data for an optimized crystal structure of Cs2Tm2HfSe6, as listed in Alexandria via LeMat-Bulk.

Results
energy relative to the elements, uncorrected	-1.646	eV/atom
calculated total energy	-5.420	eV/atom

Unit cell a=7.006 b=7.006 c=8.912 alpha=97.85 beta=97.85 gamma=119.79
Positions (direct):
Cs  0.170  0.830  0.000
Cs  0.830  0.170  0.000
Tm  0.333  0.667  0.500
Tm  0.667  0.333  0.500
Hf  0.000  0.000  0.500
Se  0.064  0.381  0.680
Se  0.257  0.257  0.321
Se  0.381  0.064  0.680
Se  0.619  0.936  0.320
Se  0.743  0.743  0.679
Se  0.936  0.619  0.320

First-principles (PBE) data for an optimized crystal structure of SrMg2BeIr, as listed in Alexandria via LeMat-Bulk.

Results
calculated total energy	-3.624	eV/atom
energy of formation from the pure elements	-132.8	meV per atom

Unit cell a=5.033 b=5.033 c=4.520 alpha=90.00 beta=90.00 gamma=90.00
Positions (direct):
Sr  0.000  0.000  0.000
Mg  0.000  0.500  0.500
Mg  0.500  0.000  0.500
Be  0.500  0.500  0.000
Ir  0.500  0.500  0.500

First-principles (PBE) data for an optimized crystal structure of Ho2S3, as listed in Alexandria via LeMat-Bulk.

Results
energy relative to the elements, uncorrected	-2.075	eV/atom
calculated total energy	-6.383	eV/atom

Unit cell a=10.161 b=4.015 c=17.604 alpha=90.00 beta=98.61 gamma=90.00
Positions (direct):
Ho  0.013  0.250  0.101
Ho  0.049  0.750  0.615
Ho  0.311  0.250  0.480
Ho  0.312  0.250  0.779
Ho  0.330  0.750  0.282
Ho  0.376  0.250  0.070
Ho  0.624  0.750  0.930
Ho  0.670  0.250  0.718
Ho  0.688  0.750  0.221
Ho  0.689  0.750  0.520
Ho  0.951  0.250  0.385
Ho  0.987  0.750  0.899
S  0.115  0.750  0.467
S  0.133  0.250  0.969
S  0.138  0.750  0.782
S  0.181  0.250  0.319
S  0.210  0.750  0.131
S  0.231  0.250  0.627
S  0.448  0.250  0.925
S  0.451  0.750  0.424
S  0.493  0.250  0.232
S  0.507  0.750  0.768
S  0.549  0.250  0.576
S  0.552  0.750  0.075
S  0.769  0.750  0.373
S  0.790  0.250  0.869
S  0.819  0.750  0.681
S  0.862  0.250  0.218
S  0.867  0.750  0.031
S  0.885  0.250  0.533

First-principles (PBE) data for an optimized crystal structure of ErCrRu2, as listed in Alexandria via LeMat-Bulk.

Results
calculated total energy	-8.228	eV/atom
energy of formation from the pure elements	-43.3	meV per atom

Unit cell a=3.128 b=3.128 c=6.614 alpha=90.00 beta=90.00 gamma=90.00
Positions (direct):
Er  0.000  0.000  0.000
Cr  0.000  0.000  0.500
Ru  0.500  0.500  0.291
Ru  0.500  0.500  0.709

First-principles (PBE) data for an optimized crystal structure of LaTbPm2N4, as listed in Alexandria via LeMat-Bulk.

Results
energy relative to the elements, uncorrected	-1.438	eV/atom
calculated total energy	-7.983	eV/atom

Unit cell a=6.270 b=3.621 c=6.277 alpha=90.00 beta=109.40 gamma=90.00
Positions (direct):
La  0.000  0.000  0.000
Tb  0.000  0.500  0.500
Pm  0.500  0.000  0.500
Pm  0.500  0.500  0.000
N  0.247  0.000  0.744
N  0.252  0.500  0.257
N  0.748  0.500  0.743
N  0.753  0.000  0.256

First-principles (PBE) data for an optimized crystal structure of Pm2NdSm5Sc, as listed in Alexandria via LeMat-Bulk.

Results
calculated total energy	-4.756	eV/atom
energy of formation from the pure elements	154.4	meV per atom

Unit cell a=10.528 b=10.528 c=10.503 alpha=90.00 beta=90.00 gamma=148.86
Positions (direct):
Pm  0.115  0.885  0.500
Pm  0.115  0.885  0.924
Pm  0.885  0.115  0.000
Pm  0.885  0.115  0.424
Nd  0.408  0.592  0.651
Nd  0.592  0.408  0.151
Sm  0.015  0.985  0.204
Sm  0.276  0.724  0.509
Sm  0.294  0.706  0.893
Sm  0.374  0.626  0.207
Sm  0.485  0.515  0.933
Sm  0.515  0.485  0.433
Sm  0.626  0.374  0.707
Sm  0.706  0.294  0.393
Sm  0.724  0.276  0.009
Sm  0.985  0.015  0.704
Sc  0.197  0.803  0.202
Sc  0.803  0.197  0.702

First-principles (PBE) data for an optimized crystal structure of Ga2TcGePb, as listed in Alexandria via LeMat-Bulk.

Results
calculated total energy	-4.451	eV/atom
energy of formation from the pure elements	498.0	meV per atom

Unit cell a=4.908 b=4.908 c=5.354 alpha=90.00 beta=90.00 gamma=90.00
Positions (direct):
Ga  0.000  0.500  0.000
Ga  0.500  0.000  0.000
Tc  0.000  0.000  0.000
Ge  0.500  0.500  0.500
Pb  0.000  0.000  0.500

First-principles (PBE) data for an optimized crystal structure of Tm6AlFe2, as listed in Alexandria via LeMat-Bulk.

Results
calculated total energy	-5.439	eV/atom
energy of formation from the pure elements	-161.3	meV per atom

Unit cell a=8.214 b=8.214 c=8.214 alpha=111.21 beta=110.60 gamma=106.64
Positions (direct):
Tm  0.024  0.233  0.792
Tm  0.187  0.285  0.472
Tm  0.187  0.715  0.902
Tm  0.314  0.018  0.704
Tm  0.314  0.610  0.296
Tm  0.441  0.233  0.208
Tm  0.559  0.767  0.792
Tm  0.686  0.390  0.704
Tm  0.686  0.982  0.296
Tm  0.813  0.285  0.098
Tm  0.813  0.715  0.528
Tm  0.976  0.767  0.208
Al  0.000  0.000  0.000
Al  0.500  0.500  0.000
Fe  0.111  0.611  0.500
Fe  0.381  0.000  0.381
Fe  0.619  0.000  0.619
Fe  0.889  0.389  0.500

First-principles (PBE) data for an optimized crystal structure of ScSe3, as listed in Alexandria via LeMat-Bulk.

Results
energy relative to the elements, uncorrected	-0.662	eV/atom
calculated total energy	-4.859	eV/atom

Unit cell a=3.814 b=6.066 c=3.883 alpha=90.00 beta=90.00 gamma=90.00
Positions (direct):
Sc  0.000  0.000  0.000
Se  0.000  0.500  0.284
Se  0.500  0.000  0.459
Se  0.500  0.500  0.799

First-principles (PBE) data for an optimized crystal structure of TbMgSnBi, as listed in Alexandria via LeMat-Bulk.

Results
calculated total energy	-3.817	eV/atom
energy of formation from the pure elements	-290.1	meV per atom

Unit cell a=7.591 b=7.591 c=7.591 alpha=90.00 beta=90.00 gamma=90.00
Positions (direct):
Tb  0.000  0.000  0.000
Tb  0.000  0.500  0.500
Tb  0.500  0.000  0.500
Tb  0.500  0.500  0.000
Mg  0.000  0.000  0.500
Mg  0.000  0.500  0.000
Mg  0.500  0.000  0.000
Mg  0.500  0.500  0.500
Sn  0.250  0.250  0.750
Sn  0.250  0.750  0.250
Sn  0.750  0.250  0.250
Sn  0.750  0.750  0.750
Bi  0.250  0.250  0.250
Bi  0.250  0.750  0.750
Bi  0.750  0.250  0.750
Bi  0.750  0.750  0.250

First-principles (PBE) data for an optimized crystal structure of FeBi, as listed in Alexandria via LeMat-Bulk.

Results
calculated total energy	-5.537	eV/atom
energy of formation from the pure elements	634.7	meV per atom

Unit cell a=5.813 b=5.813 c=5.424 alpha=90.00 beta=90.00 gamma=90.00
Positions (direct):
Fe  0.142  0.142  0.000
Fe  0.358  0.642  0.500
Fe  0.642  0.358  0.500
Fe  0.858  0.858  0.000
Bi  0.201  0.201  0.500
Bi  0.299  0.701  0.000
Bi  0.701  0.299  0.000
Bi  0.799  0.799  0.500

First-principles (PBE) data for an optimized crystal structure of DyY3Pb4, as listed in Alexandria via LeMat-Bulk.

Results
calculated total energy	-5.322	eV/atom
energy of formation from the pure elements	-468.4	meV per atom

Unit cell a=11.190 b=6.409 c=6.410 alpha=90.00 beta=90.00 gamma=90.00
Positions (direct):
Dy  0.000  0.000  0.000
Dy  0.500  0.000  0.500
Y  0.000  0.500  0.500
Y  0.250  0.249  0.250
Y  0.250  0.751  0.750
Y  0.500  0.500  0.000
Y  0.750  0.249  0.250
Y  0.750  0.751  0.750
Pb  0.000  0.000  0.500
Pb  0.000  0.500  0.000
Pb  0.250  0.251  0.750
Pb  0.250  0.749  0.250
Pb  0.500  0.000  0.000
Pb  0.500  0.500  0.500
Pb  0.750  0.251  0.750
Pb  0.750  0.749  0.250

First-principles (PBE) data for an optimized crystal structure of Ac8OsPd2, as listed in Alexandria via LeMat-Bulk.

Results
calculated total energy	-5.258	eV/atom
energy of formation from the pure elements	-304.9	meV per atom

Unit cell a=10.328 b=10.328 c=9.631 alpha=93.09 beta=93.09 gamma=23.86
Positions (direct):
Ac  0.012  0.012  0.206
Ac  0.224  0.224  0.332
Ac  0.353  0.353  0.029
Ac  0.403  0.403  0.460
Ac  0.597  0.597  0.540
Ac  0.647  0.647  0.971
Ac  0.776  0.776  0.668
Ac  0.988  0.988  0.794
Os  0.500  0.500  0.000
Pd  0.165  0.165  0.732
Pd  0.835  0.835  0.268

First-principles (PBE) data for an optimized crystal structure of HfAlTlCl2, as listed in Alexandria via LeMat-Bulk.

Results
energy relative to the elements, uncorrected	0.228	eV/atom
calculated total energy	-3.724	eV/atom

Unit cell a=4.591 b=4.591 c=6.007 alpha=90.00 beta=90.00 gamma=90.00
Positions (direct):
Hf  0.000  0.000  0.000
Al  0.500  0.500  0.500
Tl  0.500  0.500  0.000
Cl  0.000  0.500  0.500
Cl  0.500  0.000  0.500

First-principles (PBE) data for an optimized crystal structure of KZn2Rh, as listed in Alexandria via LeMat-Bulk.

Results
calculated total energy	-2.418	eV/atom
energy of formation from the pure elements	331.7	meV per atom

Unit cell a=6.879 b=7.021 c=3.026 alpha=90.00 beta=90.13 gamma=90.00
Positions (direct):
K  0.000  0.000  0.000
K  0.500  0.500  0.000
Zn  0.250  0.250  0.500
Zn  0.250  0.750  0.500
Zn  0.750  0.250  0.500
Zn  0.750  0.750  0.500
Rh  0.000  0.500  0.000
Rh  0.500  0.000  0.000

First-principles (PBE) data for an optimized crystal structure of SmEr2Ti, as listed in Alexandria via LeMat-Bulk.

Results
calculated total energy	-5.284	eV/atom
energy of formation from the pure elements	151.0	meV per atom

Unit cell a=3.371 b=3.371 c=9.711 alpha=90.00 beta=90.00 gamma=90.00
Positions (direct):
Sm  0.000  0.000  0.000
Er  0.500  0.500  0.286
Er  0.500  0.500  0.714
Ti  0.000  0.000  0.500

First-principles (PBE) data for an optimized crystal structure of ScAl2Cl, as listed in Alexandria via LeMat-Bulk.

Results
energy relative to the elements, uncorrected	-0.374	eV/atom
calculated total energy	-4.290	eV/atom

Unit cell a=3.073 b=5.414 c=9.965 alpha=90.00 beta=90.00 gamma=90.00
Positions (direct):
Sc  0.000  0.000  0.000
Sc  0.500  0.500  0.500
Al  0.000  0.000  0.505
Al  0.000  0.500  0.754
Al  0.500  0.000  0.254
Al  0.500  0.500  0.005
Cl  0.000  0.500  0.300
Cl  0.500  0.000  0.800

First-principles (PBE) data for an optimized crystal structure of TlZn2Cl, as listed in Alexandria via LeMat-Bulk.

Results
energy relative to the elements, uncorrected	-0.108	eV/atom
calculated total energy	-1.798	eV/atom

Unit cell a=4.325 b=4.325 c=5.656 alpha=90.00 beta=90.00 gamma=90.00
Positions (direct):
Tl  0.000  0.000  0.000
Zn  0.000  0.500  0.500
Zn  0.500  0.000  0.500
Cl  0.500  0.500  0.000

First-principles (PBE) data for an optimized crystal structure of Hf3SnMo, as listed in Alexandria via LeMat-Bulk.

Results
calculated total energy	-9.011	eV/atom
energy of formation from the pure elements	-72.0	meV per atom

Unit cell a=7.561 b=7.561 c=9.015 alpha=96.13 beta=96.13 gamma=24.67
Positions (direct):
Hf  0.052  0.052  0.213
Hf  0.248  0.248  0.797
Hf  0.412  0.412  0.397
Hf  0.588  0.588  0.603
Hf  0.752  0.752  0.203
Hf  0.948  0.948  0.787
Sn  0.394  0.394  0.056
Sn  0.606  0.606  0.944
Mo  0.192  0.192  0.429
Mo  0.808  0.808  0.571

First-principles (PBE) data for an optimized crystal structure of PaRePb2O8, as listed in Alexandria via LeMat-Bulk.

Results
energy relative to the elements, uncorrected	-1.942	eV/atom
calculated total energy	-7.694	eV/atom

Unit cell a=5.402 b=6.751 c=5.407 alpha=90.00 beta=91.05 gamma=90.00
Positions (direct):
Pa  0.000  0.000  0.000
Re  0.000  0.500  0.000
Pb  0.500  0.259  0.500
Pb  0.500  0.741  0.500
O  0.168  0.283  0.834
O  0.168  0.717  0.834
O  0.241  0.500  0.245
O  0.268  0.000  0.270
O  0.732  0.000  0.730
O  0.759  0.500  0.755
O  0.832  0.283  0.166
O  0.832  0.717  0.166

First-principles (PBE) data for an optimized crystal structure of Tm7TlRu2, as listed in Alexandria via LeMat-Bulk.

Results
calculated total energy	-5.347	eV/atom
energy of formation from the pure elements	-125.6	meV per atom

Unit cell a=8.015 b=8.015 c=5.186 alpha=90.00 beta=90.00 gamma=113.96
Positions (direct):
Tm  0.000  0.000  0.000
Tm  0.181  0.448  0.000
Tm  0.218  0.782  0.500
Tm  0.448  0.181  0.000
Tm  0.552  0.819  0.000
Tm  0.782  0.218  0.500
Tm  0.819  0.552  0.000
Tl  0.500  0.500  0.500
Ru  0.199  0.801  0.000
Ru  0.801  0.199  0.000

First-principles (PBE) data for an optimized crystal structure of AcTmTh2, as listed in Alexandria via LeMat-Bulk.

Results
calculated total energy	-5.612	eV/atom
energy of formation from the pure elements	242.5	meV per atom

Unit cell a=3.568 b=3.568 c=38.171 alpha=90.00 beta=90.00 gamma=120.00
Positions (direct):
Ac  0.000  0.000  0.000
Ac  0.333  0.667  0.667
Ac  0.667  0.333  0.333
Tm  0.000  0.000  0.500
Tm  0.333  0.667  0.167
Tm  0.667  0.333  0.833
Th  0.000  0.000  0.091
Th  0.000  0.000  0.909
Th  0.333  0.667  0.575
Th  0.333  0.667  0.758
Th  0.667  0.333  0.242
Th  0.667  0.333  0.425

First-principles (PBE) data for an optimized crystal structure of ZrSc2Tc, as listed in Alexandria via LeMat-Bulk.

Results
calculated total energy	-7.877	eV/atom
energy of formation from the pure elements	17.8	meV per atom

Unit cell a=3.178 b=3.178 c=28.366 alpha=90.00 beta=90.00 gamma=120.00
Positions (direct):
Zr  0.000  0.000  0.000
Zr  0.333  0.667  0.667
Zr  0.667  0.333  0.333
Sc  0.000  0.000  0.236
Sc  0.000  0.000  0.764
Sc  0.333  0.667  0.431
Sc  0.333  0.667  0.903
Sc  0.667  0.333  0.097
Sc  0.667  0.333  0.569
Tc  0.000  0.000  0.500
Tc  0.333  0.667  0.167
Tc  0.667  0.333  0.833

First-principles (PBE) data for an optimized crystal structure of CsNaPPb2, as listed in Alexandria via LeMat-Bulk.

Results
calculated total energy	-1.612	eV/atom
energy of formation from the pure elements	1388.2	meV per atom

Unit cell a=6.360 b=6.360 c=5.686 alpha=90.00 beta=90.00 gamma=90.00
Positions (direct):
Cs  0.000  0.000  0.000
Na  0.000  0.000  0.500
P  0.500  0.500  0.500
Pb  0.000  0.500  0.000
Pb  0.500  0.000  0.000